Material: Sr3UO6
Method: DFT, PBE
State: relaxed

a b c (Å): 10.1697 10.1697 12.0017
angles (deg): 90.00 90.00 120.00
Last column: nearest neighbours and their distance in Å.
Space group R-3 (No. 148, hexagonal axes)
Inequivalent atoms, fractional coordinates:
Sr (0.0375, 0.2672, 0.2110) x18  6 O 2.48-2.67
U (0.0000, 0.0000, 0.0000) x3  6 O 2.10
U (0.0000, 0.0000, 0.5000) x3  6 O 2.11
O (0.0257, 0.1749, 0.8926) x18  1 U 2.10
O (0.0303, 0.1904, 0.4084) x18  1 U 2.11

Results
E_tot = -77.5 eV per formula unit
N(E_F) = 0.000 states/eV per atom
mass density = 5532 kg/m3
ΔE_f (raw) = -303 kJ per mole of atoms

***

Material: Sr2UO5
Method: DFT, PBE
State: relaxed

a b c (Å): 10.2226 7.1779 6.3117
angles (deg): 90.00 90.00 90.00
Last column: nearest neighbours and their distance in Å.
Space group Pnma (No. 62)
Inequivalent atoms, fractional coordinates:
Sr (0.1697, 0.0038, 0.0329) x8  8 O 2.53-2.79
U (0.0005, 0.2500, 0.5550) x4  7 O 2.07-2.29
O (0.0133, 0.2500, 0.8998) x4  1 U 2.18
O (0.0802, 0.5352, 0.6530) x8  2 U 2.19-2.29
O (0.1702, 0.2500, 0.3745) x4  1 U 2.08
O (0.1912, 0.7500, 0.3413) x4  1 U 2.07

Results
E_tot = -64.3 eV per formula unit
N(E_F) = 0.000 states/eV per atom
mass density = 7074 kg/m3
ΔE_f (raw) = -300 kJ per mole of atoms

***

Material: Sr4U2O9
Method: DFT, PBE
State: relaxed

a b c (Å): 8.6924 10.5853 12.2635
angles (deg): 72.80 89.06 66.67
Last column: nearest neighbours and their distance in Å.
Space group P-1 (No. 2)
Inequivalent atoms, fractional coordinates:
Sr (0.0000, 0.0000, 0.0000) x1  6 O 2.47-2.50
Sr (0.0000, 0.0000, 0.5000) x1  6 O 2.47-2.54
Sr (0.0345, 0.3521, 0.4106) x2  6 O 2.51-2.80
Sr (0.1119, 0.3130, 0.9334) x2  4 O 2.44-2.67
Sr (0.2203, 0.0182, 0.7299) x2  5 O 2.53-2.70
Sr (0.2755, 0.9887, 0.2615) x2  4 O 2.44-2.60
Sr (0.3388, 0.3270, 0.6656) x2  6 O 2.45-2.54
Sr (0.3756, 0.6824, 0.0727) x2  5 O 2.47-2.74
Sr (0.4401, 0.6433, 0.6007) x2  4 O 2.48-2.71
U (0.1684, 0.6635, 0.3293) x2  5 O 2.09-2.17
U (0.1703, 0.6616, 0.8355) x2  4 O 2.06-2.25
U (0.3338, 0.3306, 0.1677) x2  6 O 2.15-2.24
U (0.5000, 0.0000, 0.0000) x1  4 O 2.10
U (0.5000, 0.0000, 0.5000) x1  6 O 2.11-2.33
O (0.0569, 0.3470, 0.6161) x2  1 U 2.09
O (0.0678, 0.7677, 0.1541) x2  1 U 2.12
O (0.0887, 0.8759, 0.3502) x2  1 U 2.17
O (0.1199, 0.2677, 0.1707) x2  2 U 2.21-2.33
O (0.1537, 0.7768, 0.6618) x2  1 U 2.09
O (0.1553, 0.8349, 0.8875) x2  1 U 2.07
O (0.1828, 0.4903, 0.7829) x2  1 U 2.06
O (0.1908, 0.5310, 0.0211) x2  2 U 2.24-2.25
O (0.2356, 0.0846, 0.5006) x2  1 U 2.11
O (0.2474, 0.4367, 0.2960) x2  2 U 2.15-2.38
O (0.2777, 0.5519, 0.5035) x2  1 U 2.13
O (0.2788, 0.9855, 0.0608) x2  1 U 2.10
O (0.3682, 0.1180, 0.8354) x2  1 U 2.10
O (0.4033, 0.6543, 0.2795) x2  1 U 2.09
O (0.4207, 0.2205, 0.0401) x2  2 U 2.17-2.36
O (0.4587, 0.5981, 0.8456) x2  2 U 2.20-2.32
O (0.4757, 0.1319, 0.3069) x2  2 U 2.18-2.33
O (0.4852, 0.8345, 0.4430) x2  1 U 2.12

Results
E_tot = -121.2 eV per formula unit
N(E_F) = 0.254 states/eV per atom
mass density = 6556 kg/m3
ΔE_f (raw) = -304 kJ per mole of atoms

***

Material: Sr3UO6
Method: DFT, PBE
State: relaxed

a b c (Å): 10.1690 10.1690 11.9312
angles (deg): 90.00 90.00 120.00
Last column: nearest neighbours and their distance in Å.
Space group R-3c (No. 167, hexagonal axes)
Inequivalent atoms, fractional coordinates:
Sr (0.0000, 0.3233, 0.2500) x18  6 O 2.46-2.71
U (0.0000, 0.0000, 0.0000) x6  6 O 2.10
O (0.0434, 0.1949, 0.4090) x36  1 U 2.10

Results
E_tot = -76.9 eV per formula unit
N(E_F) = 0.000 states/eV per atom
mass density = 5566 kg/m3
ΔE_f (raw) = -298 kJ per mole of atoms

***

- Which value of ΔE_f (raw) does entry 4 give?
  -298 kJ per mole of atoms

***

- The highest E_tot belongs to which entry?
  Sr2UO5

***

- What is the formula in the fourth record?
  Sr3UO6

***

- The lowest ΔE_f (raw) belongs to which entry?
  Sr4U2O9